KPm4Se6: relaxed, PBE.

Computed properties:
Energy ... -5.521 eV per atom

a = 4.228 Å, b = 14.073 Å, c = 22.187 Å
α = 90.00°, β = 90.00°, γ = 90.00°
Space group Cmcm (No. 63)
Symmetry-distinct sites (fractional):
K 0.000 0.154 0.250 [4 per cell]
Pm 0.000 0.098 0.634 [8 per cell]
Pm 0.000 0.368 0.542 [8 per cell]
Se 0.000 0.000 0.000 [4 per cell]
Se 0.000 0.170 0.750 [4 per cell]
Se 0.000 0.272 0.080 [8 per cell]
Se 0.000 0.462 0.656 [8 per cell]

YZnSe2: relaxed, PBE.

Computed properties:
Energy ... -4.704 eV per atom

a = 4.1386 Å, b = 4.1386 Å, c = 24.3161 Å
α = 90.00°, β = 90.00°, γ = 120.00°
Space group R-3m (No. 166, hexagonal axes)
Symmetry-distinct sites (fractional):
Y 0.0000 0.0000 0.0000 [3 per cell]
Zn 0.0000 0.0000 0.5000 [3 per cell]
Se 0.0000 0.0000 0.3989 [6 per cell]

Ti3NbSi: relaxed, PBE.

Computed properties:
ΔE to the lowest computed polymorph ... 0.632 eV/atom

a = 4.731 Å, b = 4.731 Å, c = 4.731 Å
α = 90.00°, β = 90.00°, γ = 90.00°
Space group Pm-3m (No. 221)
Symmetry-distinct sites (fractional):
Ti 0.000 0.000 0.500 [3 per cell]
Nb 0.000 0.000 0.000 [1 per cell]
Si 0.500 0.500 0.500 [1 per cell]

ZnCrIn2: relaxed, PBE.

Computed properties:
Formation enthalpy at 0 K ... 0.272 eV per atom

a = 3.266 Å, b = 3.266 Å, c = 7.646 Å
α = 90.00°, β = 90.00°, γ = 90.00°
Space group P4mm (No. 99)
Symmetry-distinct sites (fractional):
Zn 0.000 0.000 0.000 [1 per cell]
Cr 0.500 0.500 0.177 [1 per cell]
In 0.000 0.000 0.417 [1 per cell]
In 0.500 0.500 0.743 [1 per cell]

FeCu2Pt: relaxed, PBE.

Computed properties:
Formation enthalpy at 0 K ... 0.358 eV per atom

a = 6.760 Å, b = 6.760 Å, c = 5.025 Å
α = 90.00°, β = 90.00°, γ = 90.00°
Space group I-42d (No. 122)
Symmetry-distinct sites (fractional):
Fe 0.000 0.000 0.000 [4 per cell]
Cu 0.239 0.250 0.125 [8 per cell]
Pt 0.000 0.000 0.500 [4 per cell]

NpNbRu5: relaxed, PBE.

Computed properties:
Formation enthalpy at 0 K ... 0.108 eV per atom

a = 3.892 Å, b = 3.892 Å, c = 7.554 Å
α = 90.00°, β = 90.00°, γ = 90.00°
Space group P4/mmm (No. 123)
Symmetry-distinct sites (fractional):
Np 0.000 0.000 0.000 [1 per cell]
Nb 0.500 0.500 0.500 [1 per cell]
Ru 0.000 0.000 0.500 [1 per cell]
Ru 0.000 0.500 0.238 [4 per cell]

no.,calculated volume (Å³ per atom),size of the total moment (μB per cell)
1,30.00,0.0
2,30.06,0.0
3,21.18,1.2
4,20.39,3.5
5,14.35,13.9
6,16.35,0.0